A relaxed structure of RbDy2B2S6, computed with PBE.

Lattice parameters (Å, degrees): 7.0311 7.3304 7.3782 116.26 118.42 90.04
Last column: nearest neighbours and their distance in Å.
Element x y z (fractional)
Rb 0.0000 0.0000 0.0000  8 S 3.82-3.97, 2 B 3.96, 4 Dy 4.21
Dy 0.3295 0.6707 0.6590  6 S 2.71-2.80
Dy 0.6705 0.3293 0.3410  6 S 2.71-2.80
B 0.3508 0.2611 0.7024  3 S 1.82-1.84
B 0.6492 0.7389 0.2976  3 S 1.82-1.84
S 0.1012 0.3571 0.6447  1 B 1.82
S 0.4281 0.1095 0.8574  1 B 1.84
S 0.4578 0.6434 0.3562  1 B 1.82
S 0.5422 0.3566 0.6438  1 B 1.82
S 0.5719 0.8905 0.1426  1 B 1.84
S 0.8988 0.6429 0.3553  1 B 1.82

Output
- E_tot: -0.2010 Ha/atom


A relaxed structure of Pu2PaSi2Ni2, computed with PBE.

Lattice parameters (Å, degrees): 9.2170 9.2170 9.2170 24.30 24.30 24.30
Last column: nearest neighbours and their distance in Å.
Element x y z (fractional)
Pu 0.1479 0.1479 0.1479  3 Pu 2.46
Pu 0.8521 0.8521 0.8521  3 Pu 2.46
Pa 0.0000 0.0000 0.0000  6 Ni 2.83, 6 Si 3.07
Si 0.2550 0.2550 0.2550  3 Ni 2.27
Si 0.7450 0.7450 0.7450  3 Ni 2.27
Ni 0.3978 0.3978 0.3978  3 Si 2.27
Ni 0.6022 0.6022 0.6022  3 Si 2.27

Output
- E_tot: -0.3353 Ha/atom


A relaxed structure of Er5TmPb2, computed with PBE.

Lattice parameters (Å, degrees): 6.4608 6.4608 16.5296 90.00 90.00 135.19
Last column: nearest neighbours and their distance in Å.
Element x y z (fractional)
Er 0.0527 0.9473 0.6011  7 Er 3.43-3.57, 3 Pb 3.46-3.57, 1 Tm 3.65
Er 0.0527 0.9473 0.8989  7 Er 3.43-3.57, 3 Pb 3.46-3.57, 1 Tm 3.65
Er 0.3707 0.6293 0.5421  3 Pb 3.10-3.23, 3 Er 3.39-3.43
Er 0.3707 0.6293 0.9579  3 Pb 3.10-3.23, 3 Er 3.39-3.43
Er 0.4397 0.5603 0.2500  2 Pb 3.18, 1 Tm 3.37, 4 Er 3.48
Er 0.5603 0.4397 0.7500  2 Pb 3.18, 1 Tm 3.37, 4 Er 3.48
Er 0.6293 0.3707 0.0421  3 Pb 3.10-3.23, 3 Er 3.39-3.43
Er 0.6293 0.3707 0.4579  3 Pb 3.10-3.23, 3 Er 3.39-3.43
Er 0.9473 0.0527 0.1011  7 Er 3.43-3.57, 3 Pb 3.46-3.57, 1 Tm 3.65
Er 0.9473 0.0527 0.3989  7 Er 3.43-3.57, 3 Pb 3.46-3.57, 1 Tm 3.65
Tm 0.2785 0.7215 0.7500  4 Pb 3.20, 1 Er 3.37
Tm 0.7215 0.2785 0.2500  4 Pb 3.20, 1 Er 3.37
Pb 0.2345 0.7655 0.1270  5 Er 3.10-3.46, 2 Tm 3.20
Pb 0.2345 0.7655 0.3730  5 Er 3.10-3.46, 2 Tm 3.20
Pb 0.7655 0.2345 0.6270  5 Er 3.10-3.46, 2 Tm 3.20
Pb 0.7655 0.2345 0.8730  5 Er 3.10-3.46, 2 Tm 3.20

Output
- E_tot: -0.1662 Ha/atom
- ΔE to the lowest computed polymorph: 67.2 meV/atom
- E_form: -0.185 eV/atom


A relaxed structure of Cs2TaReBr6, computed with PBE.

Lattice parameters (Å, degrees): 7.5609 7.5609 7.5609 120.49 120.49 89.15
Last column: nearest neighbours and their distance in Å.
Element x y z (fractional)
Cs 0.2500 0.7500 0.5000  12 Br 3.75-3.78
Cs 0.7500 0.2500 0.5000  12 Br 3.75-3.78
Ta 0.0000 0.0000 0.0000  6 Br 2.69-2.72
Re 0.5000 0.5000 0.0000  6 Br 2.62-2.66
Br 0.2529 0.2529 0.0000  1 Re 2.66, 1 Ta 2.72
Br 0.2530 0.2530 0.5060  1 Re 2.62, 1 Ta 2.69
Br 0.2530 0.7470 0.0000  1 Re 2.62, 1 Ta 2.69
Br 0.7470 0.2530 0.0000  1 Re 2.62, 1 Ta 2.69
Br 0.7471 0.7471 0.0000  1 Re 2.66, 1 Ta 2.72
Br 0.7470 0.7470 0.4940  1 Re 2.62, 1 Ta 2.69

Output
- E_tot: -0.1490 Ha/atom


A relaxed structure of RbAg4Br6, computed with PBE.

Lattice parameters (Å, degrees): 8.4710 8.4710 4.7411 90.00 90.00 120.00
Last column: nearest neighbours and their distance in Å.
Element x y z (fractional)
Rb 0.0000 0.0000 0.0000  6 Br 3.33
Ag 0.3333 0.6667 0.0000  3 Br 2.81
Ag 0.4254 0.2127 0.5000  6 Br 2.81-3.06, 2 Ag 3.07
Ag 0.7873 0.2127 0.5000  6 Br 2.81-3.06, 2 Ag 3.07
Ag 0.7873 0.5746 0.5000  6 Br 2.81-3.06, 2 Ag 3.07
Br 0.1598 0.3196 0.5000  2 Ag 2.81
Br 0.1598 0.8402 0.5000  2 Ag 2.81
Br 0.5251 0.0502 0.0000  5 Ag 2.81-3.06
Br 0.5251 0.4749 0.0000  5 Ag 2.81-3.06
Br 0.6804 0.8402 0.5000  2 Ag 2.81
Br 0.9498 0.4749 0.0000  5 Ag 2.81-3.06

Output
- E_tot: -0.0899 Ha/atom


Across the entries above, magnetic moment takes the values 0.00; 0.81; 0.00; 2.00; 0.00 Bohr magnetons per cell, respectively.